Entry from Alexandria: a geometry-optimized Ta2BeAg structure (PBE).

Values from the calculation:
magnetization: 0.00 μB per formula unit
total energy: -7.240 eV per atom
formation energy: 0.331 eV/atom

a b c (Å): 9.413 9.413 9.413
angles (deg): 17.38 17.38 17.38
Element x y z (fractional)
Ta 0.009 0.009 0.009
Ta 0.249 0.249 0.249
Ag 0.490 0.490 0.490
Be 0.753 0.753 0.753

Entry from Alexandria: a geometry-optimized TaBe2Ag structure (PBE).

Values from the calculation:
magnetization: 0.00 μB per formula unit
total energy: -5.217 eV per atom
formation energy: 0.322 eV/atom

a b c (Å): 4.196 4.196 4.196
angles (deg): 60.00 60.00 60.00
Element x y z (fractional)
Ta 0.500 0.500 0.500
Ag 0.000 0.000 0.000
Be 0.250 0.250 0.250
Be 0.750 0.750 0.750

Entry from Alexandria: a geometry-optimized Ta2BeAg structure (PBE).

Values from the calculation:
magnetization: 0.00 μB per formula unit
total energy: -7.303 eV per atom
formation energy: 0.268 eV/atom

a b c (Å): 5.411 5.411 4.756
angles (deg): 64.20 64.20 30.30
Element x y z (fractional)
Ag 0.538 0.538 0.463
Ta 0.752 0.752 0.748
Ta 0.969 0.969 0.032
Be 0.241 0.241 0.257

Entry from Alexandria: a geometry-optimized TaBe2Ag structure (PBE).

Values from the calculation:
magnetization: 0.00 μB per formula unit
total energy: -5.241 eV per atom
formation energy: 0.298 eV/atom

a b c (Å): 5.204 5.204 5.204
angles (deg): 149.51 131.42 58.44
Element x y z (fractional)
Ta 0.513 0.513 0.000
Be 0.977 0.977 0.000
Be 0.782 0.282 0.500
Ag 0.228 0.728 0.500

Entry from Alexandria: a geometry-optimized Ta2BeAg structure (PBE).

Values from the calculation:
magnetization: 0.00 μB per formula unit
total energy: -7.185 eV per atom
formation energy: 0.386 eV/atom

a b c (Å): 9.503 9.503 9.503
angles (deg): 17.19 17.19 17.19
Element x y z (fractional)
Be 0.750 0.750 0.750
Ag 0.250 0.250 0.250
Ta 0.007 0.007 0.007
Ta 0.493 0.493 0.493

Entry from Alexandria: a geometry-optimized Ta2BeAgW structure (PBE).

Values from the calculation:
magnetization: 0.00 μB per formula unit
total energy: -7.879 eV per atom
formation energy: 0.769 eV/atom

a b c (Å): 4.462 4.096 4.462
angles (deg): 90.00 90.00 90.00
Element x y z (fractional)
Ag 0.000 0.500 0.000
Be 0.000 0.000 0.000
Ta 0.000 0.000 0.500
Ta 0.500 0.000 0.000
W 0.500 0.500 0.500

Entry from Alexandria: a geometry-optimized Tb2BeAg structure (PBE).

Values from the calculation:
magnetization: 0.00 μB per formula unit
total energy: -4.013 eV per atom
formation energy: -0.053 eV/atom

a b c (Å): 5.037 5.037 5.037
angles (deg): 60.00 60.00 60.00
Element x y z (fractional)
Tb 0.250 0.250 0.250
Tb 0.750 0.750 0.750
Ag 0.500 0.500 0.500
Be 0.000 0.000 0.000

Entry from Alexandria: a geometry-optimized Tb2BeAg structure (PBE).

Values from the calculation:
magnetization: 0.00 μB per formula unit
total energy: -4.065 eV per atom
formation energy: -0.106 eV/atom

a b c (Å): 3.502 3.502 7.207
angles (deg): 90.00 90.00 90.00
Element x y z (fractional)
Tb 0.000 0.000 0.772
Tb 0.000 0.000 0.228
Be 0.500 0.500 0.000
Ag 0.500 0.500 0.500

Entry from Alexandria: a geometry-optimized TbBeAg structure (PBE).

Values from the calculation:
magnetization: 0.00 μB per formula unit
total energy: -3.824 eV per atom
formation energy: -0.088 eV/atom

a b c (Å): 3.922 5.273 6.176
angles (deg): 105.34 108.51 90.00
Element x y z (fractional)
Be 0.231 0.885 0.462
Be 0.769 0.115 0.538
Ag 0.404 0.242 0.808
Ag 0.596 0.758 0.192
Tb 0.883 0.684 0.766
Tb 0.117 0.316 0.234

Entry from Alexandria: a geometry-optimized TbTmBeAg structure (PBE).

Values from the calculation:
magnetization: 0.00 μB per formula unit
total energy: -3.989 eV per atom
formation energy: -0.069 eV/atom

a b c (Å): 4.988 4.988 4.988
angles (deg): 60.00 60.00 60.00
Element x y z (fractional)
Tb 0.000 0.000 0.000
Tm 0.500 0.500 0.500
Be 0.750 0.750 0.750
Ag 0.250 0.250 0.250

Entry from Alexandria: a geometry-optimized TbYBeAg structure (PBE).

Values from the calculation:
magnetization: 0.00 μB per formula unit
total energy: -4.482 eV per atom
formation energy: -0.064 eV/atom

a b c (Å): 5.031 5.031 5.031
angles (deg): 60.00 60.00 60.00
Element x y z (fractional)
Ag 0.000 0.000 0.000
Y 0.750 0.750 0.750
Tb 0.250 0.250 0.250
Be 0.500 0.500 0.500

Entry from Alexandria: a geometry-optimized BeTc2Ag structure (PBE).

Values from the calculation:
magnetization: 0.00 μB per formula unit
total energy: -6.411 eV per atom
formation energy: 0.416 eV/atom

a b c (Å): 4.338 3.608 3.608
angles (deg): 90.00 90.00 90.00
Element x y z (fractional)
Tc 0.000 0.500 0.500
Tc 0.000 0.000 0.000
Be 0.500 0.000 0.500
Ag 0.500 0.500 0.000

Entry from Alexandria: a geometry-optimized BeTcAg3 structure (PBE).

Values from the calculation:
magnetization: 3.06 μB per formula unit
total energy: -2.666 eV per atom
formation energy: 1.863 eV/atom

a b c (Å): 5.129 5.129 5.129
angles (deg): 90.00 90.00 90.00
Element x y z (fractional)
Ag 0.000 0.000 0.500
Ag 0.500 0.000 0.000
Ag 0.000 0.500 0.000
Tc 0.000 0.000 0.000
Be 0.500 0.500 0.500

Entry from Alexandria: a geometry-optimized BeTc2Ag structure (PBE).

Values from the calculation:
magnetization: 0.00 μB per formula unit
total energy: -6.537 eV per atom
formation energy: 0.290 eV/atom

a b c (Å): 2.685 2.685 8.622
angles (deg): 90.00 90.00 114.01
Element x y z (fractional)
Ag 0.000 0.000 0.527
Tc 0.000 0.000 0.981
Tc 0.500 0.500 0.231
Be 0.500 0.500 0.760

Entry from Alexandria: a geometry-optimized BeTc2Ag structure (PBE).

Values from the calculation:
magnetization: 0.55 μB per formula unit
total energy: -6.422 eV per atom
formation energy: 0.405 eV/atom

a b c (Å): 9.027 9.027 9.027
angles (deg): 17.27 17.27 17.27
Element x y z (fractional)
Be 0.750 0.750 0.750
Tc 0.009 0.009 0.009
Tc 0.491 0.491 0.491
Ag 0.250 0.250 0.250

Entry from Alexandria: a geometry-optimized Be2Tc2Ag structure (PBE).

Values from the calculation:
magnetization: 0.00 μB per formula unit
total energy: -6.095 eV per atom
formation energy: 0.113 eV/atom

a b c (Å): 6.139 6.139 3.237
angles (deg): 90.00 90.00 90.00
Element x y z (fractional)
Tc 0.329 0.171 0.500
Tc 0.829 0.329 0.500
Tc 0.671 0.829 0.500
Tc 0.171 0.671 0.500
Be 0.620 0.120 0.000
Be 0.120 0.380 0.000
Be 0.380 0.880 0.000
Be 0.880 0.620 0.000
Ag 0.000 0.000 0.000
Ag 0.500 0.500 0.000

Entry from Alexandria: a geometry-optimized BeTcAg2 structure (PBE).

Values from the calculation:
magnetization: 0.00 μB per formula unit
total energy: -4.452 eV per atom
formation energy: 0.497 eV/atom

a b c (Å): 4.321 2.681 5.277
angles (deg): 75.31 90.00 90.00
Element x y z (fractional)
Ag 0.000 0.399 0.486
Ag 0.000 0.101 0.014
Be 0.500 0.250 0.250
Tc 0.500 0.750 0.750

Entry from Alexandria: a geometry-optimized BeTcAg4 structure (PBE).

Values from the calculation:
magnetization: 2.95 μB per formula unit
total energy: -3.408 eV per atom
formation energy: 0.842 eV/atom

a b c (Å): 5.347 5.347 5.347
angles (deg): 60.00 60.00 60.00
Element x y z (fractional)
Ag 0.875 0.375 0.375
Ag 0.375 0.375 0.875
Ag 0.375 0.375 0.375
Ag 0.375 0.875 0.375
Be 0.750 0.750 0.750
Tc 0.000 0.000 0.000

Entry from Alexandria: a geometry-optimized BeTc2Ag structure (PBE).

Values from the calculation:
magnetization: 0.00 μB per formula unit
total energy: -6.361 eV per atom
formation energy: 0.466 eV/atom

a b c (Å): 4.909 4.909 2.714
angles (deg): 90.00 90.00 119.49
Element x y z (fractional)
Tc 0.500 0.500 0.000
Tc 0.000 0.000 0.000
Be 0.000 0.500 0.500
Ag 0.500 0.000 0.500

Entry from Alexandria: a geometry-optimized BeTcAg structure (PBE).

Values from the calculation:
magnetization: 0.00 μB per formula unit
total energy: -5.391 eV per atom
formation energy: 0.257 eV/atom

a b c (Å): 5.737 5.735 2.727
angles (deg): 76.30 76.20 27.50
Element x y z (fractional)
Be 0.329 0.329 0.671
Ag 0.983 0.983 0.017
Tc 0.688 0.688 0.312

Entry from Alexandria: a geometry-optimized BeTc2Ag structure (PBE).

Values from the calculation:
magnetization: 0.00 μB per formula unit
total energy: -6.423 eV per atom
formation energy: 0.405 eV/atom

a b c (Å): 4.133 2.654 5.591
angles (deg): 67.90 90.00 90.00
Element x y z (fractional)
Tc 0.000 0.545 0.529
Tc 0.000 0.955 0.971
Ag 0.500 0.250 0.250
Be 0.500 0.750 0.750

Entry from Alexandria: a geometry-optimized BeTc2Ag structure (PBE).

Values from the calculation:
magnetization: 0.00 μB per formula unit
total energy: -6.700 eV per atom
formation energy: 0.127 eV/atom

a b c (Å): 2.884 2.884 6.752
angles (deg): 90.00 90.00 90.00
Element x y z (fractional)
Tc 0.000 0.000 0.979
Tc 0.500 0.500 0.209
Ag 0.000 0.000 0.538
Be 0.500 0.500 0.774

Entry from Alexandria: a geometry-optimized BeTcAg2 structure (PBE).

Values from the calculation:
magnetization: 0.50 μB per formula unit
total energy: -4.424 eV per atom
formation energy: 0.524 eV/atom

a b c (Å): 2.772 4.569 4.774
angles (deg): 90.00 90.00 90.00
Element x y z (fractional)
Be 0.500 0.000 0.500
Ag 0.000 0.000 0.000
Ag 0.500 0.500 0.000
Tc 0.000 0.500 0.500

Entry from Alexandria: a geometry-optimized BeTcAg2 structure (PBE).

Values from the calculation:
magnetization: 0.00 μB per formula unit
total energy: -4.398 eV per atom
formation energy: 0.550 eV/atom

a b c (Å): 4.314 3.723 3.723
angles (deg): 90.00 90.00 90.00
Element x y z (fractional)
Be 0.500 0.500 0.000
Tc 0.500 0.000 0.500
Ag 0.000 0.000 0.000
Ag 0.000 0.500 0.500

Entry from Alexandria: a geometry-optimized BeTcAg2 structure (PBE).

Values from the calculation:
magnetization: 0.00 μB per formula unit
total energy: -4.432 eV per atom
formation energy: 0.516 eV/atom

a b c (Å): 5.055 5.055 2.636
angles (deg): 90.00 90.00 116.59
Element x y z (fractional)
Ag 0.500 0.500 0.000
Ag 0.000 0.000 0.000
Be 0.500 0.000 0.500
Tc 0.000 0.500 0.500

Entry from Alexandria: a geometry-optimized BeTc2Ag structure (PBE).

Values from the calculation:
magnetization: 0.00 μB per formula unit
total energy: -6.552 eV per atom
formation energy: 0.275 eV/atom

a b c (Å): 2.740 2.740 7.259
angles (deg): 90.00 90.00 90.00
Element x y z (fractional)
Ag 0.500 0.500 0.250
Tc 0.000 0.000 0.556
Tc 0.000 0.000 0.944
Be 0.500 0.500 0.750

Entry from Alexandria: a geometry-optimized BeTc2Ag structure (PBE).

Values from the calculation:
magnetization: 0.00 μB per formula unit
total energy: -6.451 eV per atom
formation energy: 0.376 eV/atom

a b c (Å): 4.589 4.589 4.589
angles (deg): 129.58 129.58 74.08
Element x y z (fractional)
Be 0.750 0.250 0.500
Tc 0.000 0.000 0.000
Tc 0.250 0.750 0.500
Ag 0.500 0.500 0.000

Entry from Alexandria: a geometry-optimized BeTc2Ag structure (PBE).

Values from the calculation:
magnetization: 0.00 μB per formula unit
total energy: -6.398 eV per atom
formation energy: 0.430 eV/atom

a b c (Å): 5.036 5.036 5.036
angles (deg): 138.00 138.00 60.91
Element x y z (fractional)
Tc 0.000 0.000 0.000
Tc 0.500 0.500 0.000
Ag 0.250 0.750 0.500
Be 0.750 0.250 0.500

Entry from Alexandria: a geometry-optimized BeTcAg2 structure (PBE).

Values from the calculation:
magnetization: 0.00 μB per formula unit
total energy: -4.524 eV per atom
formation energy: 0.424 eV/atom

a b c (Å): 5.407 5.407 5.407
angles (deg): 151.40 127.95 60.46
Element x y z (fractional)
Be 0.497 0.497 0.000
Ag 0.000 0.000 0.000
Ag 0.715 0.215 0.500
Tc 0.288 0.788 0.500

Entry from Alexandria: a geometry-optimized BeTcAg3 structure (PBE).

Values from the calculation:
magnetization: 2.71 μB per formula unit
total energy: -3.659 eV per atom
formation energy: 0.871 eV/atom

a b c (Å): 4.399 4.399 4.399
angles (deg): 90.00 90.00 90.00
Element x y z (fractional)
Ag 0.000 0.500 0.000
Ag 0.500 0.000 0.000
Ag 0.000 0.000 0.500
Tc 0.500 0.500 0.500
Be 0.000 0.000 0.000